Record 1
The following is a PBE-GGA calculation of an optimized crystal structure of Ac8Pm2Pr, from Alexandria.

```
Ac8Pm2Pr
1.0
6.694 -6.196 0.000
6.694 6.196 0.000
-1.344 0.000 6.125
Ac Pm Pr
8 2 1
direct
0.079 0.079 0.291 Ac
0.133 0.643 0.196 Ac
0.357 0.357 0.492 Ac
0.357 0.867 0.804 Ac
0.643 0.133 0.196 Ac
0.643 0.643 0.508 Ac
0.867 0.357 0.804 Ac
0.921 0.921 0.709 Ac
0.238 0.238 0.918 Pm
0.762 0.762 0.082 Pm
0.500 0.500 0.000 Pr
```

## Properties
- space group = C2/m
- volume (Å³/cell) = 508.13
- total DFT energy (no corrections) (eV per atom) = -3.938
- calculated formation energy (eV per atom) = 0.349

=====

Record 2
The following is a PBE-GGA calculation of an optimized crystal structure of SrHgP2, from Alexandria.

```
SrHgP2
1.0
6.543 0.000 0.000
0.000 6.543 0.000
-0.008 0.000 4.144
Sr Hg P
2 2 4
direct
0.000 0.000 0.000 Sr
0.500 0.500 0.000 Sr
0.000 0.500 0.000 Hg
0.500 0.000 0.000 Hg
0.250 0.250 0.500 P
0.250 0.750 0.500 P
0.750 0.250 0.500 P
0.750 0.750 0.500 P
```

## Properties
- space group = C2/m
- volume (Å³/cell) = 177.40
- total DFT energy (no corrections) (eV per atom) = -3.315
- calculated formation energy (eV per atom) = -0.114

=====

Record 3
The following is a PBE-GGA calculation of an optimized crystal structure of NpZn2Ga, from Alexandria.

```
NpZn2Ga
1.0
4.216 0.000 0.000
0.000 4.216 0.000
0.000 0.000 4.420
Np Zn Ga
1 2 1
direct
0.000 0.000 0.000 Np
0.000 0.500 0.500 Zn
0.500 0.000 0.500 Zn
0.500 0.500 0.000 Ga
```

## Properties
- space group = P4/mmm
- volume (Å³/cell) = 78.57
- total DFT energy (no corrections) (eV per atom) = -4.519
- calculated formation energy (eV per atom) = 0.110
- distance to the lowest polymorph of the same formula (eV/f.u.) = 0.149